## InP3O9 (PBEsol)

Data for an optimized crystal structure of InP3O9.

a = 9.7274 Å, b = 10.9742 Å, c = 11.9854 Å
α = 113.65°, β = 109.99°, γ = 98.03°
Last column: nearest neighbours and their distance in Å.
Fractional coordinates of all 78 atoms:
In 0.4992 0.0113 0.8199  6 O 2.11-2.15
In 0.1793 0.1914 0.1801  6 O 2.11-2.15
In 0.8487 0.8253 0.4864  6 O 2.12-2.14
In 0.8623 0.3389 0.5136  6 O 2.12-2.14
In 0.1667 0.6782 0.1563  6 O 2.11-2.15
In 0.5104 0.5219 0.8437  6 O 2.11-2.15
P 0.3942 0.1616 0.6193  4 O 1.49-1.61
P 0.2749 0.5422 0.3807  4 O 1.49-1.61
P 0.6005 0.8882 0.0495  4 O 1.49-1.60
P 0.0510 0.8387 0.9505  4 O 1.49-1.60
P 0.1409 0.8060 0.7246  4 O 1.49-1.59
P 0.9163 0.0813 0.2754  4 O 1.49-1.59
P 0.4867 0.1471 0.3985  4 O 1.50-1.60
P 0.5881 0.7485 0.6015  4 O 1.50-1.60
P 0.9663 0.1843 0.7177  4 O 1.49-1.61
P 0.7486 0.4666 0.2823  4 O 1.49-1.61
P 0.2433 0.4241 0.9389  4 O 1.50-1.60
P 0.8044 0.4852 0.0611  4 O 1.50-1.60
P 0.8730 0.2186 0.9441  4 O 1.49-1.60
P 0.4288 0.2744 0.0559  4 O 1.49-1.60
P 0.1115 0.9309 0.3890  4 O 1.49-1.60
P 0.2225 0.5419 0.6110  4 O 1.49-1.60
P 0.5446 0.8735 0.2735  4 O 1.49-1.60
P 0.7711 0.6001 0.7265  4 O 1.49-1.60
O 0.6035 0.7408 0.9910  1 P 1.49
O 0.1126 0.7498 0.0090  1 P 1.49
O 0.6174 0.2564 0.4190  1 P 1.50
O 0.6983 0.8374 0.5810  1 P 1.50
O 0.3314 0.1112 0.2880  1 P 1.50
O 0.5434 0.8232 0.7120  1 P 1.50
O 0.9846 0.9608 0.2872  2 P 1.59
O 0.1974 0.6736 0.7128  2 P 1.59
O 0.1451 0.8627 0.8707  2 P 1.59-1.60
O 0.7745 0.9920 0.1293  2 P 1.59-1.60
O 0.0328 0.8428 0.4313  1 P 1.49
O 0.1015 0.4115 0.5687  1 P 1.49
O 0.2566 0.9141 0.7279  1 P 1.49
O 0.0287 0.1862 0.2721  1 P 1.49
O 0.4794 0.2001 0.5400  2 P 1.59
O 0.4395 0.6601 0.4600  2 P 1.59
O 0.5299 0.0077 0.3830  2 P 1.60
O 0.6468 0.6246 0.6170  2 P 1.60
O 0.9779 0.7576 0.6195  1 P 1.50
O 0.8584 0.1381 0.3805  1 P 1.50
O 0.4039 0.2975 0.7257  1 P 1.49
O 0.1782 0.5718 0.2743  1 P 1.49
O 0.4594 0.0611 0.6593  1 P 1.50
O 0.3001 0.4018 0.3407  1 P 1.50
O 0.8212 0.4407 0.1759  2 P 1.60-1.61
O 0.1454 0.2649 0.8241  2 P 1.60-1.61
O 0.3746 0.4027 0.0462  2 P 1.60
O 0.8284 0.3564 0.9538  2 P 1.60
O 0.8407 0.4227 0.3781  1 P 1.49
O 0.9626 0.0446 0.6219  1 P 1.49
O 0.6416 0.4854 0.0011  1 P 1.50
O 0.1405 0.4843 0.9989  1 P 1.50
O 0.5786 0.3555 0.1968  2 P 1.59-1.60
O 0.8819 0.1587 0.8032  2 P 1.59-1.60
O 0.9281 0.6177 0.1112  1 P 1.50
O 0.3168 0.5065 0.8888  1 P 1.50
O 0.4706 0.2019 0.9429  1 P 1.49
O 0.0277 0.2591 0.0571  1 P 1.49
O 0.3129 0.1859 0.0717  1 P 1.50
O 0.7412 0.1142 0.9283  1 P 1.50
O 0.2030 0.5739 0.4881  2 P 1.60-1.61
O 0.2149 0.0858 0.5119  2 P 1.60-1.61
O 0.3870 0.5472 0.6758  1 P 1.50
O 0.2112 0.8714 0.3242  1 P 1.50
O 0.8752 0.7586 0.8379  2 P 1.60
O 0.5373 0.9207 0.1621  2 P 1.60
O 0.7335 0.6103 0.3342  1 P 1.49
O 0.8993 0.2761 0.6658  1 P 1.49
O 0.0476 0.9786 0.0399  1 P 1.49
O 0.5077 0.9386 0.9601  1 P 1.49
O 0.6935 0.5321 0.7851  1 P 1.50
O 0.4085 0.7470 0.2149  1 P 1.50
O 0.8663 0.5275 0.6653  1 P 1.49
O 0.7010 0.8621 0.3347  1 P 1.49

Output
Its raw formation energy is -2086 meV/atom. Its symmetry is Cc. The value obtained for the volume is 1042.9 Å³/cell.

## In2P2O7 (PBEsol)

Data for an optimized crystal structure of In2P2O7.

a = 7.5104 Å, b = 8.4986 Å, c = 10.5058 Å
α = 90.00°, β = 90.00°, γ = 106.46°
Last column: nearest neighbours and their distance in Å.
Fractional coordinates of all 44 atoms:
In 0.6664 0.0631 0.3223  4 O 2.70-2.89
In 0.3336 0.4369 0.8223  4 O 2.70-2.89
In 0.3336 0.9369 0.6777  4 O 2.70-2.89
In 0.6664 0.5631 0.1777  4 O 2.70-2.89
In 0.2613 0.2402 0.4008  6 O 2.11-2.17
In 0.7387 0.2598 0.9008  6 O 2.11-2.17
In 0.7387 0.7598 0.5992  6 O 2.11-2.17
In 0.2613 0.7402 0.0992  6 O 2.11-2.17
P 0.0606 0.8077 0.3617  4 O 1.52-1.63
P 0.9394 0.6923 0.8617  4 O 1.52-1.63
P 0.9394 0.1923 0.6383  4 O 1.52-1.63
P 0.0606 0.3077 0.1383  4 O 1.52-1.63
P 0.3693 0.6740 0.4010  4 O 1.50-1.61
P 0.6307 0.8260 0.9010  4 O 1.50-1.61
P 0.6307 0.3260 0.5990  4 O 1.50-1.61
P 0.3693 0.1740 0.0990  4 O 1.50-1.61
O 0.1858 0.9776 0.3939  1 P 1.52
O 0.8142 0.5224 0.8939  1 P 1.52
O 0.8142 0.0224 0.6061  1 P 1.52
O 0.1858 0.4776 0.1061  1 P 1.52
O 0.8667 0.7659 0.4195  1 P 1.52
O 0.1333 0.7341 0.9195  1 P 1.52
O 0.1333 0.2341 0.5805  1 P 1.52
O 0.8667 0.2659 0.0805  1 P 1.52
O 0.1598 0.6807 0.4274  2 P 1.61-1.63
O 0.8402 0.8193 0.9274  2 P 1.61-1.63
O 0.8402 0.3193 0.5726  2 P 1.61-1.63
O 0.1598 0.1807 0.0726  2 P 1.61-1.63
O 0.4290 0.7514 0.2693  1 P 1.54
O 0.5710 0.7486 0.7693  1 P 1.54
O 0.5710 0.2486 0.7307  1 P 1.54
O 0.4290 0.2514 0.2307  1 P 1.54
O 0.3691 0.9975 0.0936  1 P 1.50
O 0.6309 0.5025 0.5936  1 P 1.50
O 0.6309 0.0025 0.9064  1 P 1.50
O 0.3691 0.4975 0.4064  1 P 1.50
O 0.0415 0.7664 0.2192  1 P 1.53
O 0.9585 0.7336 0.7192  1 P 1.53
O 0.9585 0.2336 0.7808  1 P 1.53
O 0.0415 0.2664 0.2808  1 P 1.53
O 0.5104 0.7184 0.0047  1 P 1.54
O 0.4896 0.7816 0.5047  1 P 1.54
O 0.4896 0.2816 0.9953  1 P 1.54
O 0.5104 0.2184 0.4953  1 P 1.54

Output
Its raw formation energy is -1940 meV/atom. Its symmetry is P2_1/c. The value obtained for the volume is 643.1 Å³/cell.

## InP2O2 (PBEsol)

Data for an optimized crystal structure of InP2O2.

a = 3.9100 Å, b = 5.0021 Å, c = 5.0021 Å
α = 90.00°, β = 90.00°, γ = 90.00°
Last column: nearest neighbours and their distance in Å.
Fractional coordinates of all 5 atoms:
P 0.0000 0.0000 0.5000  2 In 2.50
P 0.0000 0.5000 0.0000  2 In 2.50
O 0.5000 0.5000 0.5000  8 P 3.17, 4 O 3.54
O 0.5000 0.0000 0.0000  2 In 1.96
In 0.0000 0.0000 0.0000  2 O 1.96

Output
Its raw formation energy is 1260 meV/atom. Its symmetry is P4/mmm. The value obtained for the volume is 97.8 Å³/cell.

## InP2PbO8 (PBEsol)

Data for an optimized crystal structure of InP2PbO8.

a = 6.6334 Å, b = 9.3057 Å, c = 11.0009 Å
α = 90.00°, β = 90.00°, γ = 107.35°
Last column: nearest neighbours and their distance in Å.
Fractional coordinates of all 48 atoms:
In 0.6699 0.2977 0.0806  6 O 2.09-2.18
In 0.8301 0.2023 0.5806  6 O 2.09-2.18
In 0.3301 0.7023 0.9194  6 O 2.09-2.18
In 0.1699 0.7977 0.4194  6 O 2.09-2.18
P 0.3154 0.1587 0.5373  4 O 1.53-1.56
P 0.1846 0.3413 0.0373  4 O 1.53-1.56
P 0.6846 0.8413 0.4627  4 O 1.53-1.56
P 0.8154 0.6587 0.9627  4 O 1.53-1.56
P 0.3465 0.9526 0.1391  4 O 1.53-1.57
P 0.1535 0.5474 0.6391  4 O 1.53-1.57
P 0.6535 0.0474 0.8609  4 O 1.53-1.57
P 0.8465 0.4526 0.3609  4 O 1.53-1.57
Pb 0.3666 0.4625 0.3419  3 O 2.28-2.42
Pb 0.1334 0.0375 0.8419  3 O 2.28-2.42
Pb 0.6334 0.5375 0.6581  3 O 2.28-2.42
Pb 0.8666 0.9625 0.1581  3 O 2.28-2.42
O 0.2999 0.4893 0.5522  1 P 1.57
O 0.2001 0.0107 0.0522  1 P 1.57
O 0.7001 0.5107 0.4478  1 P 1.57
O 0.7999 0.9893 0.9478  1 P 1.57
O 0.2878 0.5850 0.7544  1 P 1.53
O 0.2122 0.9150 0.2544  1 P 1.53
O 0.7122 0.4150 0.2456  1 P 1.53
O 0.7878 0.0850 0.7456  1 P 1.53
O 0.2946 0.9912 0.5273  1 P 1.53
O 0.2054 0.5088 0.0273  1 P 1.53
O 0.7054 0.0088 0.4727  1 P 1.53
O 0.7946 0.4912 0.9727  1 P 1.53
O 0.2998 0.2210 0.4088  1 P 1.54
O 0.2002 0.2790 0.9088  1 P 1.54
O 0.7002 0.7790 0.5912  1 P 1.54
O 0.7998 0.7210 0.0912  1 P 1.54
O 0.3636 0.3253 0.1229  1 P 1.56
O 0.1364 0.1747 0.6229  1 P 1.56
O 0.6364 0.6747 0.8771  1 P 1.56
O 0.8636 0.8253 0.3771  1 P 1.56
O 0.4410 0.9233 0.8336  1 P 1.56
O 0.0590 0.5767 0.3336  1 P 1.56
O 0.5590 0.0767 0.1664  1 P 1.56
O 0.9410 0.4233 0.6664  1 P 1.56
O 0.4069 0.8182 0.0871  1 P 1.53
O 0.0931 0.6818 0.5871  1 P 1.53
O 0.5931 0.1818 0.9129  1 P 1.53
O 0.9069 0.3182 0.4129  1 P 1.53
O 0.4744 0.7582 0.3964  1 P 1.56
O 0.0256 0.7418 0.8964  1 P 1.56
O 0.5256 0.2418 0.6036  1 P 1.56
O 0.9744 0.2582 0.1036  1 P 1.56

Output
Its raw formation energy is -1848 meV/atom. Its symmetry is P2_1/c. The value obtained for the volume is 648.2 Å³/cell.

## RbInP2O7 (PBEsol)

Data for an optimized crystal structure of RbInP2O7.

a = 7.5451 Å, b = 8.5396 Å, c = 10.4909 Å
α = 90.00°, β = 90.00°, γ = 105.82°
Last column: nearest neighbours and their distance in Å.
Fractional coordinates of all 44 atoms:
Rb 0.3177 0.9447 0.6804  6 O 2.85-3.17
Rb 0.6823 0.0553 0.3196  6 O 2.85-3.17
Rb 0.6823 0.5553 0.1804  6 O 2.85-3.17
Rb 0.3177 0.4447 0.8196  6 O 2.85-3.17
In 0.7368 0.7578 0.5990  6 O 2.11-2.16
In 0.7368 0.2578 0.9010  6 O 2.11-2.16
In 0.2632 0.2422 0.4010  6 O 2.11-2.16
In 0.2632 0.7422 0.0990  6 O 2.11-2.16
P 0.9378 0.6899 0.8630  4 O 1.52-1.63
P 0.3707 0.1745 0.0995  4 O 1.50-1.62
P 0.6293 0.8255 0.9005  4 O 1.50-1.62
P 0.9378 0.1899 0.6370  4 O 1.52-1.63
P 0.0622 0.8101 0.3630  4 O 1.52-1.63
P 0.6293 0.3255 0.5995  4 O 1.50-1.62
P 0.3707 0.6745 0.4005  4 O 1.50-1.62
P 0.0622 0.3101 0.1370  4 O 1.52-1.63
O 0.3664 0.4978 0.4078  1 P 1.50
O 0.4936 0.7806 0.5017  1 P 1.53
O 0.0453 0.7689 0.2204  1 P 1.53
O 0.9547 0.2311 0.7796  1 P 1.53
O 0.8676 0.7657 0.4186  1 P 1.53
O 0.8676 0.2657 0.0814  1 P 1.53
O 0.4936 0.2806 0.9983  1 P 1.53
O 0.1324 0.7343 0.9186  1 P 1.53
O 0.8211 0.0200 0.6033  1 P 1.52
O 0.4267 0.7480 0.2680  1 P 1.54
O 0.5733 0.7520 0.7680  1 P 1.54
O 0.9547 0.7311 0.7204  1 P 1.53
O 0.8361 0.8136 0.9304  2 P 1.62-1.63
O 0.1639 0.1864 0.0696  2 P 1.62-1.63
O 0.3664 0.9978 0.0922  1 P 1.50
O 0.0453 0.2689 0.2796  1 P 1.53
O 0.4267 0.2480 0.2320  1 P 1.54
O 0.8361 0.3136 0.5696  2 P 1.62-1.63
O 0.5064 0.7194 0.0017  1 P 1.53
O 0.1789 0.4800 0.1033  1 P 1.52
O 0.6336 0.5022 0.5922  1 P 1.50
O 0.1639 0.6864 0.4304  2 P 1.62-1.63
O 0.6336 0.0022 0.9078  1 P 1.50
O 0.1789 0.9800 0.3967  1 P 1.52
O 0.5733 0.2520 0.7320  1 P 1.54
O 0.5064 0.2194 0.4983  1 P 1.53
O 0.8211 0.5200 0.8967  1 P 1.52
O 0.1324 0.2343 0.5814  1 P 1.53

Output
Its raw formation energy is -2192 meV/atom. Its symmetry is P2_1/c. The value obtained for the volume is 650.3 Å³/cell.

## InP2SO (PBEsol)

Data for an optimized crystal structure of InP2SO.

a = 3.8873 Å, b = 5.0232 Å, c = 5.0232 Å
α = 90.00°, β = 90.00°, γ = 90.00°
Last column: nearest neighbours and their distance in Å.
Fractional coordinates of all 5 atoms:
P 0.0000 0.0000 0.5000  2 In 2.51
P 0.0000 0.5000 0.0000  2 In 2.51
S 0.5000 0.5000 0.5000  8 P 3.18, 4 O 3.55
O 0.5000 0.0000 0.0000  2 In 1.94
In 0.0000 0.0000 0.0000  2 O 1.94

Output
Its raw formation energy is 845 meV/atom. Its symmetry is P4/mmm. The value obtained for the volume is 98.1 Å³/cell.

## InSbP4O14 (PBEsol)

Data for an optimized crystal structure of InSbP4O14.

a = 7.9738 Å, b = 8.0160 Å, c = 16.1867 Å
α = 90.00°, β = 90.00°, γ = 90.00°
Last column: nearest neighbours and their distance in Å.
Fractional coordinates of all 80 atoms:
In 0.0163 0.7549 0.3743  6 O 2.09-2.19
In 0.9837 0.2549 0.6257  6 O 2.09-2.19
In 0.4837 0.2549 0.8743  6 O 2.09-2.19
In 0.5163 0.7549 0.1257  6 O 2.09-2.19
Sb 0.0183 0.2531 0.1227  6 O 1.96-1.98
Sb 0.9817 0.7531 0.8773  6 O 1.96-1.98
Sb 0.4817 0.7531 0.6227  6 O 1.96-1.98
Sb 0.5183 0.2531 0.3773  6 O 1.96-1.98
P 0.9105 0.6299 0.0673  4 O 1.49-1.58
P 0.0895 0.1299 0.9327  4 O 1.49-1.58
P 0.5895 0.1299 0.5673  4 O 1.49-1.58
P 0.4105 0.6299 0.4327  4 O 1.49-1.58
P 0.1059 0.8682 0.1710  4 O 1.50-1.61
P 0.8941 0.3682 0.8290  4 O 1.50-1.61
P 0.3941 0.3682 0.6710  4 O 1.50-1.61
P 0.6059 0.8682 0.3290  4 O 1.50-1.61
P 0.9033 0.3582 0.3138  4 O 1.49-1.58
P 0.0967 0.8582 0.6862  4 O 1.49-1.58
P 0.5967 0.8582 0.8138  4 O 1.49-1.58
P 0.4033 0.3582 0.1862  4 O 1.49-1.58
P 0.1244 0.1575 0.4248  4 O 1.50-1.62
P 0.8756 0.6575 0.5752  4 O 1.50-1.62
P 0.3756 0.6575 0.9248  4 O 1.50-1.62
P 0.6244 0.1575 0.0752  4 O 1.50-1.62
O 0.8573 0.4751 0.5946  1 P 1.50
O 0.1427 0.9751 0.4054  1 P 1.50
O 0.6427 0.9751 0.0946  1 P 1.50
O 0.3573 0.4751 0.9054  1 P 1.50
O 0.9823 0.7123 0.5041  1 P 1.50
O 0.0177 0.2123 0.4959  1 P 1.50
O 0.5177 0.2123 0.0041  1 P 1.50
O 0.4823 0.7123 0.9959  1 P 1.50
O 0.0741 0.8720 0.7806  1 P 1.54
O 0.9259 0.3720 0.2194  1 P 1.54
O 0.4259 0.3720 0.2806  1 P 1.54
O 0.5741 0.8720 0.7194  1 P 1.54
O 0.9451 0.7445 0.6586  2 P 1.58-1.62
O 0.0549 0.2445 0.3414  2 P 1.58-1.62
O 0.5549 0.2445 0.1586  2 P 1.58-1.62
O 0.4451 0.7445 0.8414  2 P 1.58-1.62
O 0.7566 0.7565 0.8291  1 P 1.53
O 0.2434 0.2565 0.1709  1 P 1.53
O 0.7434 0.2565 0.3291  1 P 1.53
O 0.2566 0.7565 0.6709  1 P 1.53
O 0.5350 0.4807 0.4248  1 P 1.56
O 0.4650 0.9807 0.5752  1 P 1.56
O 0.9650 0.9807 0.9248  1 P 1.56
O 0.0350 0.4807 0.0752  1 P 1.56
O 0.8020 0.2375 0.0658  1 P 1.56
O 0.1980 0.7375 0.9342  1 P 1.56
O 0.6980 0.7375 0.5658  1 P 1.56
O 0.3020 0.2375 0.4342  1 P 1.56
O 0.9797 0.2872 0.9100  2 P 1.58-1.61
O 0.0203 0.7872 0.0900  2 P 1.58-1.61
O 0.5203 0.7872 0.4100  2 P 1.58-1.61
O 0.4797 0.2872 0.5900  2 P 1.58-1.61
O 0.8968 0.5235 0.3558  1 P 1.49
O 0.1032 0.0235 0.6442  1 P 1.49
O 0.6032 0.0235 0.8558  1 P 1.49
O 0.3968 0.5235 0.1442  1 P 1.49
O 0.4959 0.5356 0.6795  1 P 1.57
O 0.5041 0.0356 0.3205  1 P 1.57
O 0.0041 0.0356 0.1795  1 P 1.57
O 0.9959 0.5356 0.8205  1 P 1.57
O 0.9333 0.2606 0.7554  1 P 1.50
O 0.0667 0.7606 0.2446  1 P 1.50
O 0.5667 0.7606 0.2554  1 P 1.50
O 0.4333 0.2606 0.7446  1 P 1.50
O 0.6303 0.1557 0.4745  1 P 1.55
O 0.3697 0.6557 0.5255  1 P 1.55
O 0.8697 0.6557 0.9745  1 P 1.55
O 0.1303 0.1557 0.0255  1 P 1.55
O 0.7527 0.6168 0.1167  1 P 1.49
O 0.2473 0.1168 0.8833  1 P 1.49
O 0.7473 0.1168 0.6167  1 P 1.49
O 0.2527 0.6168 0.3833  1 P 1.49
O 0.7122 0.3928 0.8511  1 P 1.51
O 0.2878 0.8928 0.1489  1 P 1.51
O 0.7878 0.8928 0.3511  1 P 1.51
O 0.2122 0.3928 0.6489  1 P 1.51

Output
Its raw formation energy is -1991 meV/atom. Its symmetry is Pna2_1. The value obtained for the volume is 1034.6 Å³/cell.

## InSnPO2 (PBEsol)

Data for an optimized crystal structure of InSnPO2.

a = 4.0658 Å, b = 4.0658 Å, c = 5.2172 Å
α = 90.00°, β = 90.00°, γ = 90.00°
Last column: nearest neighbours and their distance in Å.
Fractional coordinates of all 5 atoms:
P 0.0000 0.0000 0.5000  2 In 2.61, 4 Sn 2.87
Sn 0.5000 0.5000 0.5000  4 P 2.87
O 0.0000 0.5000 0.0000  2 In 2.03
O 0.5000 0.0000 0.0000  2 In 2.03
In 0.0000 0.0000 0.0000  4 O 2.03

Output
Its raw formation energy is -185 meV/atom. Its symmetry is P4/mmm. The value obtained for the volume is 86.2 Å³/cell.

Which value of raw formation energy does entry 2 give?
-1940 meV/atom